No. 1
DFT (SCAN) results for a crystal of ScOsS3 relaxed with PBEsol.

Lattice parameters (Å, degrees): 4.752 4.752 4.752 90.00 90.00 90.00
Element x y z (fractional)
Sc1 0.000 0.000 0.000
Os1 0.500 0.500 0.500
S1 0.000 0.000 0.500
S2 0.000 0.500 0.000
S3 0.500 0.000 0.000

- total DFT energy (no corrections) (Ry/atom) = -1.6418
- volume (A^3/atom) = 21.46

***

No. 2
DFT (SCAN) results for a crystal of Li2Mn3FeO8 relaxed with PBEsol.

Lattice parameters (Å, degrees): 5.611 5.611 9.162 90.00 90.00 120.00
Element x y z (fractional)
Li1 0.000 0.000 0.000
Li2 0.000 0.000 0.500
Li3 0.333 0.667 0.102
Li4 0.667 0.333 0.602
Mn1 0.170 0.339 0.784
Mn2 0.170 0.830 0.784
Mn3 0.339 0.170 0.284
Mn4 0.661 0.830 0.784
Mn5 0.830 0.170 0.284
Mn6 0.830 0.661 0.284
Fe1 0.333 0.667 0.514
Fe2 0.667 0.333 0.014
O1 0.000 0.000 0.187
O2 0.000 0.000 0.687
O3 0.042 0.521 0.657
O4 0.167 0.335 0.398
O5 0.167 0.833 0.398
O6 0.333 0.667 0.894
O7 0.335 0.167 0.898
O8 0.479 0.521 0.657
O9 0.479 0.958 0.657
O10 0.521 0.042 0.157
O11 0.521 0.479 0.157
O12 0.665 0.833 0.398
O13 0.667 0.333 0.394
O14 0.833 0.167 0.898
O15 0.833 0.665 0.898
O16 0.958 0.479 0.157

- total DFT energy (no corrections) (Ry/atom) = -0.8234
- volume (A^3/atom) = 8.92
- E above lowest polymorph (meV/atom) = 76

***

No. 3
DFT (SCAN) results for a crystal of NbGeRh relaxed with PBEsol.

Lattice parameters (Å, degrees): 6.422 3.828 7.404 90.00 90.00 90.00
Element x y z (fractional)
Nb1 0.028 0.250 0.179
Nb2 0.472 0.750 0.679
Nb3 0.528 0.250 0.321
Nb4 0.972 0.750 0.821
Ge1 0.240 0.750 0.376
Ge2 0.260 0.250 0.876
Ge3 0.740 0.750 0.124
Ge4 0.760 0.250 0.624
Rh1 0.143 0.250 0.561
Rh2 0.357 0.750 0.061
Rh3 0.643 0.250 0.939
Rh4 0.857 0.750 0.439

- total DFT energy (no corrections) (Ry/atom) = -2.1622
- volume (A^3/atom) = 15.17
- formation energy from the elements (eV per atom) = -0.756

***

No. 4
DFT (SCAN) results for a crystal of KHg2GeCl relaxed with PBEsol.

Lattice parameters (Å, degrees): 6.127 6.127 6.362 90.00 90.00 90.00
Element x y z (fractional)
K1 0.000 0.000 0.000
Hg1 0.000 0.500 0.000
Hg2 0.500 0.000 0.000
Ge1 0.000 0.000 0.500
Cl1 0.500 0.500 0.500

- total DFT energy (no corrections) (Ry/atom) = -2.4896
- volume (A^3/atom) = 47.76

***

No. 5
DFT (SCAN) results for a crystal of CaMg2CI relaxed with PBEsol.

Lattice parameters (Å, degrees): 6.112 6.112 4.177 90.00 90.00 90.00
Element x y z (fractional)
Ca1 0.000 0.000 0.000
Mg1 0.000 0.500 0.000
Mg2 0.500 0.000 0.000
C1 0.000 0.000 0.500
I1 0.500 0.500 0.500

- total DFT energy (no corrections) (Ry/atom) = -0.8797
- volume (A^3/atom) = 31.21

***

No. 6
DFT (SCAN) results for a crystal of UPt5 relaxed with PBEsol.

Lattice parameters (Å, degrees): 5.214 5.214 5.214 60.00 60.00 60.00
Element x y z (fractional)
U1 0.000 0.000 0.000
Pt1 0.126 0.625 0.625
Pt2 0.250 0.250 0.250
Pt3 0.625 0.126 0.625
Pt4 0.625 0.625 0.126
Pt5 0.625 0.625 0.625

- total DFT energy (no corrections) (Ry/atom) = -5.6092
- volume (A^3/atom) = 16.71
- formation energy from the elements (eV per atom) = -0.568